Crystalline La2AuS2 at its relaxed geometry, computed with GGA-PBE.

Unit cell a=8.065 b=8.065 c=3.658 alpha=90.00 beta=90.00 gamma=90.00
Element x y z (fractional)
La (0.166, 0.666, 0.500)
S (0.865, 0.635, 0.000)
La (0.334, 0.166, 0.500)
La (0.834, 0.334, 0.500)
S (0.365, 0.865, 0.000)
S (0.635, 0.135, 0.000)
Au (0.500, 0.500, 0.000)
S (0.135, 0.365, 0.000)
La (0.666, 0.834, 0.500)
Au (0.000, 0.000, 0.000)

Results
Uncorrected formation energy   -7.77 eV/f.u.
Polymorph energy (0 for the lowest one)   0.000 eV/atom